Density functional theory data (PBE+U) for an optimized crystal structure of Na2ScWO6.

Lattice parameters (Å, degrees): 5.601 5.660 9.737 90.00 125.09 90.00
Space group P2_1/c (No. 14)
Asymmetric unit:
Na: 0.246 0.019 0.250 [4 per cell]
Sc: 0.500 0.000 0.000 [2 per cell]
W: 0.000 0.000 0.500 [2 per cell]
O: 0.176 0.228 0.969 [4 per cell]
O: 0.243 0.708 0.971 [4 per cell]
O: 0.300 0.012 0.740 [4 per cell]

V   12.63 Å³ per atom
Energy   -136.264 eV/cell